# 1
18
Lattice="4.725 0.000 0.000 -2.363 11.053 0.000 0.000 0.000 15.646" Properties=species:S:1:pos:R:3 comment="Rb2HgAuI5, relaxed, DFT PBE-GGA" dft_energy_ev_per_atom=-2.23 sg="No. 36" vol_a3_per_cell=817.2 crystal_system=orthorhombic pbc="T T T"
I 2.363 4.410 2.321
I 2.363 3.861 12.984
Au 0.000 5.665 1.697
I 0.000 10.561 12.159
Au 2.363 5.387 9.520
Rb 2.363 8.869 2.811
Rb 0.000 3.379 5.168
I 2.363 0.492 4.336
I 0.000 1.006 0.355
Hg 2.363 1.388 14.342
I 0.000 6.643 10.144
I 2.363 10.047 8.178
I 2.363 3.120 7.992
I 0.000 7.192 5.161
Hg 0.000 9.664 6.519
Rb 2.363 7.674 12.991
I 0.000 7.933 0.170
Rb 0.000 2.184 10.634

# 2
10
Lattice="9.683 0.978 0.672 5.673 7.627 0.791 5.645 3.286 7.218" Properties=species:S:1:pos:R:3 comment="Rb2HgAuI6, relaxed, DFT PBE-GGA" sg="No. 2" e_above_lowest_polymorph_mev_per_atom=0 vol_a3_per_cell=455.9 crystal_system=triclinic pbc="T T T"
Hg 15.647 8.836 5.174
Rb 5.093 3.223 5.611
I 11.015 3.806 6.612
I 4.921 5.259 2.276
Au 5.145 2.890 0.834
I 3.394 1.641 2.598
Rb 10.844 5.842 3.276
I 12.542 7.424 6.289
I 7.483 6.240 6.013
I 8.453 2.827 2.874

# 3
5
Lattice="-1.056 -5.650 -1.779 2.796 -2.069 4.910 -4.716 0.032 2.699" Properties=species:S:1:pos:R:3 comment="RbHgAuI2, relaxed, DFT PBE-GGA" dft_energy_ev_per_atom=-2.09 sg="No. 123" vol_a3_per_cell=196.7 crystal_system=tetragonal pbc="T T T"
I -0.528 -2.825 -0.889
I 1.398 -1.034 2.455
Au 0.000 0.000 0.000
Rb -1.488 -3.843 2.915
Hg -2.358 0.016 1.349

# 4
5
Lattice="5.971 0.000 0.000 0.000 5.297 0.000 0.000 0.000 5.971" Properties=species:S:1:pos:R:3 comment="ReHgAuI2, relaxed, DFT PBE-GGA" dft_energy_ev_per_atom=-2.35 sg="No. 123" vol_a3_per_cell=188.8 crystal_system=tetragonal pbc="T T T"
Au 0.000 2.648 0.000
I 2.985 0.000 0.000
Re 2.985 2.648 2.985
Hg 0.000 0.000 0.000
I 0.000 0.000 2.985

# 5
5
Lattice="-1.396 -2.798 -4.841 4.332 -3.031 0.502 -3.027 -3.816 3.079" Properties=species:S:1:pos:R:3 comment="HgRuAuI2, relaxed, DFT PBE-GGA" dft_energy_ev_per_atom=-2.16 sg="No. 123" vol_a3_per_cell=176.4 crystal_system=tetragonal pbc="T T T"
I -0.698 -1.399 -2.420
Au 0.000 0.000 0.000
I -1.513 -1.908 1.539
Hg 2.166 -1.515 0.251
Ru -0.045 -4.822 -0.630

# 6
20
Lattice="-2.955 -1.658 6.660 -2.296 -7.529 -2.893 9.984 -3.676 1.643" Properties=species:S:1:pos:R:3 comment="Hg6SbAuI2, relaxed, DFT PBE-GGA" dft_energy_ev_per_atom=-1.30 sg="No. 14" vol_a3_per_cell=666.5 crystal_system=monoclinic pbc="T T T"
Hg 6.951 -6.749 5.879
Au 3.514 -2.667 4.152
Hg 3.876 -10.802 0.863
Sb -1.477 -0.829 3.330
Hg -2.219 -6.114 -0.468
I 0.002 -5.397 1.972
Hg 0.857 -2.061 4.548
Hg 2.313 -7.723 0.624
Hg 3.454 -4.025 1.749
Hg 6.204 -6.750 0.625
Hg 1.279 -8.838 3.662
Hg 5.715 -10.758 4.635
I 4.731 -7.467 3.438
I 4.649 -4.351 7.550
Au -1.148 -3.765 -1.447
Hg -0.983 -2.105 0.776
Sb 3.844 -5.603 -0.625
Hg -1.471 -6.113 4.785
Hg 2.420 -5.140 4.786
I 0.084 -8.513 -2.140